(1)
Compound: Mg2IrW
Source: the Alexandria database
Functional: PBE
Structure: optimized geometry

```
Mg2IrW
1.0
9.296 -0.008 -0.004
8.850 2.843 -0.004
8.850 1.383 2.484
Mg Ir W
2 1 1
direct
0.495 0.495 0.495
0.005 0.005 0.005
0.750 0.750 0.750
0.250 0.250 0.250
```

Summary:
- E_tot (eV/atom) = -6.06
- energy of formation (eV/f.u.) = 0.8
- size of the total moment (μB per atom) = 0.0433
- Fermi-level density of states (states/eV/atom) = 1.293

(2)
Compound: ZnBiPtW2
Source: the Alexandria database
Functional: PBE
Structure: optimized geometry

```
ZnBiPtW2
1.0
-3.848 -2.061 1.564
2.791 -3.041 2.859
-0.226 3.061 3.476
W Bi Pt Zn
2 1 1 1
direct
0.500 0.000 0.000
0.000 0.000 0.500
0.000 0.500 0.000
0.500 0.500 0.500
0.000 0.000 0.000
```

Summary:
- E_tot (eV/atom) = -5.48
- energy of formation (eV/f.u.) = 9.7
- size of the total moment (μB per atom) = 0.4379
- Fermi-level density of states (states/eV/atom) = 0.892

(3)
Compound: CaPd2S
Source: the Alexandria database
Functional: PBE
Structure: optimized geometry

```
CaPd2S
1.0
4.922 0.000 0.000
0.000 4.922 0.000
2.461 2.461 7.589
Pd Ca S
4 2 2
direct
0.484 0.125 0.250
0.266 0.625 0.250
0.375 0.516 0.750
0.875 0.734 0.750
0.000 0.000 0.000
0.750 0.250 0.500
0.500 0.500 0.000
0.250 0.750 0.500
```

Summary:
- E_tot (eV/atom) = -4.75
- formation energy without anion corrections (eV/atom) = -0.625
- size of the total moment (μB per atom) = 0.0000
- Fermi-level density of states (states/eV/atom) = 0.031

(4)
Compound: MnPd2Rh
Source: the Alexandria database
Functional: PBE
Structure: optimized geometry

```
MnPd2Rh
1.0
-0.916 4.213 -5.516
1.253 -5.372 -4.311
-2.403 -1.164 -4.933
Pd Rh Mn
4 2 2
direct
0.614 0.125 0.250
0.136 0.625 0.250
0.375 0.386 0.750
0.875 0.864 0.750
0.000 0.000 0.000
0.750 0.250 0.500
0.500 0.500 0.000
0.250 0.750 0.500
```

Summary:
- E_tot (eV/atom) = -6.42
- energy of formation (eV/f.u.) = 1.2
- size of the total moment (μB per atom) = 1.0520
- Fermi-level density of states (states/eV/atom) = 0.941

(5)
Compound: SrSbPb2
Source: the Alexandria database
Functional: PBE
Structure: optimized geometry

```
SrSbPb2
1.0
-0.230 -4.116 1.289
3.905 -0.741 -1.691
2.966 1.739 6.086
Sr Sb Pb
1 1 2
direct
0.500 0.500 0.750
0.500 0.500 0.250
0.000 0.000 0.470
0.000 0.000 0.030
```

Summary:
- E_tot (eV/atom) = -3.55
- formation energy without anion corrections (eV/atom) = -0.240
- size of the total moment (μB per atom) = 0.0000
- Fermi-level density of states (states/eV/atom) = 0.517

(6)
Compound: ThCd5In4
Source: the Alexandria database
Functional: PBE
Structure: optimized geometry

```
ThCd5In4
1.0
6.080 -1.129 0.951
1.205 6.297 0.630
-0.867 -0.014 6.383
Cd In Th
5 4 1
direct
0.957 0.466 0.091
0.957 0.091 0.466
0.543 0.909 0.534
0.543 0.534 0.909
0.750 0.500 0.500
0.369 0.307 0.307
0.250 0.823 0.177
0.131 0.693 0.693
0.250 0.177 0.823
0.750 0.000 0.000
```

Summary:
- E_tot (eV/atom) = -2.29
- energy of formation (eV/f.u.) = 0.1
- size of the total moment (μB per atom) = 0.0000
- Fermi-level density of states (states/eV/atom) = 0.391

(7)
Compound: Co5Tc
Source: the Alexandria database
Functional: PBE
Structure: optimized geometry

```
Co5Tc
1.0
2.297 -3.979 0.000
2.297 3.979 0.000
0.000 0.000 4.036
Co Tc
5 1
direct
0.667 0.333 0.000
0.500 0.500 0.500
0.500 0.000 0.500
0.333 0.667 0.000
0.000 0.500 0.500
0.000 0.000 0.000
```

Summary:
- E_tot (eV/atom) = -7.29
- energy of formation (eV/f.u.) = 2.1
- energy relative to the lowest polymorph listed for this composition (meV per atom) = 299
- size of the total moment (μB per atom) = 1.5703
- Fermi-level density of states (states/eV/atom) = 1.254

(8)
Compound: K2Rb3SrI6
Source: the Alexandria database
Functional: PBE
Structure: optimized geometry

```
K2Rb3SrI6
1.0
-3.982 6.603 -4.557
-4.515 -7.520 1.815
-0.008 3.804 8.431
I Rb Sr K
6 3 1 2
direct
0.766 0.766 0.224
0.383 0.074 0.220
0.926 0.617 0.780
0.617 0.926 0.780
0.074 0.383 0.220
0.234 0.234 0.776
0.829 0.171 0.500
0.500 0.500 0.500
0.171 0.829 0.500
0.000 0.000 0.000
0.334 0.666 0.000
0.666 0.334 0.000
```

Summary:
- E_tot (eV/atom) = -2.74
- formation energy without anion corrections (eV/atom) = -1.399
- size of the total moment (μB per atom) = 0.0000
- Fermi-level density of states (states/eV/atom) = 0.215

(9)
Compound: PmNd2Ge3Rh4
Source: the Alexandria database
Functional: PBE
Structure: optimized geometry

```
PmNd2Ge3Rh4
1.0
4.223 0.000 0.000
0.000 4.223 0.000
0.000 0.000 11.262
Ge Rh Nd Pm
3 4 2 1
direct
0.500 0.000 0.880
0.000 0.000 0.500
0.000 0.500 0.120
0.500 0.500 0.000
0.000 0.000 0.000
0.000 0.500 0.338
0.500 0.000 0.662
0.000 0.500 0.773
0.500 0.000 0.227
0.500 0.500 0.500
```

Summary:
- E_tot (eV/atom) = -6.59
- energy of formation (eV/f.u.) = -8.4
- size of the total moment (μB per atom) = 0.0000
- Fermi-level density of states (states/eV/atom) = 0.569

(10)
Compound: GaIBr3
Source: the Alexandria database
Functional: PBE
Structure: optimized geometry

```
GaIBr3
1.0
5.311 0.000 0.000
0.000 5.311 0.000
0.000 0.000 5.311
Br Ga I
3 1 1
direct
0.000 0.500 0.000
0.000 0.000 0.500
0.500 0.000 0.000
0.000 0.000 0.000
0.500 0.500 0.500
```

Summary:
- E_tot (eV/atom) = -2.05
- formation energy without anion corrections (eV/atom) = -0.134
- energy relative to the lowest polymorph listed for this composition (meV per atom) = 484
- size of the total moment (μB per atom) = 0.2911
- Fermi-level density of states (states/eV/atom) = 0.741

(11)
Compound: MoAs2Ir
Source: the Alexandria database
Functional: PBE
Structure: optimized geometry

```
MoAs2Ir
1.0
-3.128 1.215 2.781
-1.512 -4.087 0.086
1.933 -0.663 2.464
Ir Mo As
1 1 2
direct
0.500 0.000 0.500
0.000 0.500 0.500
0.500 0.500 0.000
0.000 0.000 0.000
```

Summary:
- E_tot (eV/atom) = -7.24
- energy of formation (eV/f.u.) = 0.0
- energy relative to the lowest polymorph listed for this composition (meV per atom) = 50
- size of the total moment (μB per atom) = 0.0000
- Fermi-level density of states (states/eV/atom) = 0.842

(12)
Compound: Tl2SbAu2
Source: the Alexandria database
Functional: PBE
Structure: optimized geometry

```
Tl2SbAu2
1.0
7.506 0.000 0.000
0.000 7.506 0.000
0.000 0.000 4.543
Tl Sb Au
4 2 4
direct
0.666 0.834 0.500
0.834 0.334 0.500
0.166 0.666 0.500
0.334 0.166 0.500
0.500 0.500 0.000
0.000 0.000 0.000
0.638 0.138 0.000
0.138 0.362 0.000
0.362 0.862 0.000
0.862 0.638 0.000
```

Summary:
- E_tot (eV/atom) = -3.07
- formation energy without anion corrections (eV/atom) = 0.014
- energy relative to the lowest polymorph listed for this composition (meV per atom) = 73
- size of the total moment (μB per atom) = 0.0000
- Fermi-level density of states (states/eV/atom) = 0.574

(13)
Compound: Tb6Pr2YHo
Source: the Alexandria database
Functional: PBE
Structure: optimized geometry

```
Tb6Pr2YHo
1.0
9.237 -2.165 -2.246
0.776 8.565 -2.058
0.776 -2.374 8.483
Y Tb Pr Ho
2 12 4 2
direct
0.750 0.017 0.983
0.250 0.983 0.017
0.119 0.709 0.499
0.311 0.978 0.424
0.381 0.501 0.291
0.557 0.745 0.127
0.057 0.127 0.745
0.189 0.576 0.022
0.443 0.255 0.873
0.943 0.873 0.255
0.811 0.424 0.978
0.619 0.499 0.709
0.881 0.291 0.501
0.689 0.022 0.576
0.458 0.807 0.700
0.542 0.193 0.300
0.042 0.300 0.193
0.958 0.700 0.807
0.750 0.593 0.407
0.250 0.407 0.593
```

Summary:
- E_tot (eV/atom) = -4.72
- energy of formation (eV/f.u.) = 1.1
- size of the total moment (μB per atom) = 0.0000
- Fermi-level density of states (states/eV/atom) = 1.387

(14)
Compound: Ba2ZnPb2
Source: the Alexandria database
Functional: PBE
Structure: optimized geometry

```
Ba2ZnPb2
1.0
8.203 0.000 0.000
0.000 8.203 0.000
0.000 0.000 5.477
Pb Ba Zn
4 4 2
direct
0.358 0.858 0.000
0.858 0.642 0.000
0.142 0.358 0.000
0.642 0.142 0.000
0.336 0.164 0.500
0.164 0.664 0.500
0.664 0.836 0.500
0.836 0.336 0.500
0.500 0.500 0.000
0.000 0.000 0.000
```

Summary:
- E_tot (eV/atom) = -2.83
- energy of formation (eV/f.u.) = -1.6
- energy relative to the lowest polymorph listed for this composition (meV per atom) = 142
- size of the total moment (μB per atom) = 0.0000
- Fermi-level density of states (states/eV/atom) = 0.390

(15)
Compound: ReHg2Pb
Source: the Alexandria database
Functional: PBE
Structure: optimized geometry

```
ReHg2Pb
1.0
2.992 0.000 0.000
0.000 5.290 0.000
0.000 0.000 5.474
Hg Re Pb
2 1 1
direct
0.000 0.000 0.000
0.500 0.500 0.000
0.000 0.500 0.500
0.500 0.000 0.500
```

Summary:
- E_tot (eV/atom) = -3.29
- energy of formation (eV/f.u.) = 3.6
- size of the total moment (μB per atom) = 0.0656
- Fermi-level density of states (states/eV/atom) = 0.628

(16)
Compound: Pr8NiAs3I4
Source: the Alexandria database
Functional: PBE
Structure: optimized geometry

```
Pr8NiAs3I4
1.0
-1.200 3.471 7.877
-9.123 -0.880 -1.001
4.926 -7.102 -0.915
Pr As Ni I
8 3 1 4
direct
0.267 0.302 0.534
0.251 0.306 0.029
0.749 0.694 0.971
0.222 0.694 0.445
0.733 0.698 0.466
0.222 0.694 0.971
0.778 0.306 0.555
0.778 0.306 0.029
0.500 0.500 0.000
0.500 0.500 0.500
0.000 0.500 0.500
0.000 0.500 0.000
0.500 0.000 0.500
0.500 0.000 0.000
0.000 0.000 0.500
0.000 0.000 0.000
```

Summary:
- E_tot (eV/atom) = -5.14
- formation energy without anion corrections (eV/atom) = -1.131
- size of the total moment (μB per atom) = 0.0001
- Fermi-level density of states (states/eV/atom) = 0.593

(17)
Compound: KAs2SeN
Source: the Alexandria database
Functional: PBE
Structure: optimized geometry

```
KAs2SeN
1.0
4.390 0.000 0.000
0.000 4.390 0.000
0.000 0.000 5.455
Se K N As
1 1 1 2
direct
0.000 0.000 0.500
0.500 0.500 0.500
0.000 0.000 0.000
0.500 0.000 0.000
0.000 0.500 0.000
```

Summary:
- E_tot (eV/atom) = -3.81
- formation energy without anion corrections (eV/atom) = 0.630
- energy relative to the lowest polymorph listed for this composition (meV per atom) = 0
- size of the total moment (μB per atom) = 0.0000
- Fermi-level density of states (states/eV/atom) = 0.721

(18)
Compound: BeInTc2
Source: the Alexandria database
Functional: PBE
Structure: optimized geometry

```
BeInTc2
1.0
-2.191 -1.697 -1.059
-0.030 -1.542 2.535
-4.484 4.221 2.515
Tc Be In
2 1 1
direct
0.000 0.000 0.068
0.000 0.000 0.432
0.500 0.500 0.250
0.500 0.500 0.750
```

Summary:
- E_tot (eV/atom) = -6.68
- energy of formation (eV/f.u.) = 0.5
- energy relative to the lowest polymorph listed for this composition (meV per atom) = 133
- size of the total moment (μB per atom) = 0.0000
- Fermi-level density of states (states/eV/atom) = 0.903

(19)
Compound: KOs3Br
Source: the Alexandria database
Functional: PBE
Structure: optimized geometry

```
KOs3Br
1.0
4.690 0.000 0.000
0.000 4.690 0.000
0.000 0.000 4.690
K Os Br
1 3 1
direct
0.500 0.500 0.500
0.500 0.000 0.000
0.000 0.000 0.500
0.000 0.500 0.000
0.000 0.000 0.000
```

Summary:
- E_tot (eV/atom) = -4.85
- formation energy without anion corrections (eV/atom) = 2.439
- energy relative to the lowest polymorph listed for this composition (meV per atom) = 0
- size of the total moment (μB per atom) = 0.1396
- Fermi-level density of states (states/eV/atom) = 1.253

(20)
Compound: Tl2Cu2Ag
Source: the Alexandria database
Functional: PBE
Structure: optimized geometry

```
Tl2Cu2Ag
1.0
-6.336 -4.487 -2.031
4.538 -6.605 0.434
-0.745 -0.314 3.019
Cu Tl Ag
4 4 2
direct
0.613 0.887 0.500
0.387 0.113 0.500
0.113 0.613 0.500
0.887 0.387 0.500
0.680 0.180 0.000
0.320 0.820 0.000
0.180 0.320 0.000
0.820 0.680 0.000
0.000 0.000 0.000
0.500 0.500 0.000
```

Summary:
- E_tot (eV/atom) = -2.80
- energy of formation (eV/f.u.) = 1.8
- energy relative to the lowest polymorph listed for this composition (meV per atom) = 122
- size of the total moment (μB per atom) = 0.0000
- Fermi-level density of states (states/eV/atom) = 0.364